[1]
VASP calculation (PBE) on crystalline TlBiI2 at its relaxed geometry.

Values from the calculation:
Total DFT energy (no corrections) ... -2.368 eV per atom
Offset from the most stable computed form ... 64.1 meV/atom
Raw formation energy ... -0.031 eV/atom

a = 5.8462 Å, b = 5.8462 Å, c = 5.8462 Å
α = 60.00°, β = 60.00°, γ = 60.00°
Closest atoms and distances in Å follow each position.
Element x y z (fractional)
Tl  0.0000  0.0000  0.0000  8 I 3.58
I  0.2500  0.2500  0.2500  4 Bi 3.58, 4 Tl 3.58
I  0.7500  0.7500  0.7500  4 Bi 3.58, 4 Tl 3.58
Bi  0.5000  0.5000  0.5000  8 I 3.58



[2]
VASP calculation (PBE) on crystalline NdSN at its relaxed geometry.

Values from the calculation:
Total DFT energy (no corrections) ... -6.769 eV per atom
Offset from the most stable computed form ... 84.1 meV/atom
Raw formation energy ... -1.029 eV/atom

a = 5.0051 Å, b = 5.7885 Å, c = 7.3963 Å
α = 113.08°, β = 132.59°, γ = 90.00°
Closest atoms and distances in Å follow each position.
Element x y z (fractional)
N  0.4302  0.6199  0.1078  1 S 1.74
Nd  0.9427  0.3766  0.6202  3 N 2.25-2.51
Nd  0.9803  0.6476  0.1579  3 N 2.25-2.51
S  0.8080  0.8096  0.4857  1 N 1.74
S  0.1150  0.2146  0.2924  1 N 1.74
N  0.4928  0.4044  0.6703  1 S 1.74



[3]
VASP calculation (PBE) on crystalline Sm4NpS5 at its relaxed geometry.

Values from the calculation:
Total DFT energy (no corrections) ... -7.139 eV per atom
Raw formation energy ... -1.894 eV/atom

a = 3.9883 Å, b = 3.9883 Å, c = 14.4048 Å
α = 97.96°, β = 97.96°, γ = 90.00°
Closest atoms and distances in Å follow each position.
Element x y z (fractional)
S  0.2993  0.2993  0.5987  6 Sm 2.82-2.86
Sm  0.4003  0.4003  0.8006  6 S 2.82-2.85
Sm  0.5997  0.5997  0.1994  6 S 2.82-2.85
S  0.0985  0.0985  0.1970  1 Np 2.78, 5 Sm 2.81-2.82
S  0.9015  0.9015  0.8030  1 Np 2.78, 5 Sm 2.81-2.82
S  0.5000  0.5000  0.0000  2 Sm 2.82, 4 Np 2.82
Sm  0.8019  0.8019  0.6038  6 S 2.81-2.86
S  0.7007  0.7007  0.4013  6 Sm 2.82-2.86
Sm  0.1981  0.1981  0.3962  6 S 2.81-2.86
Np  0.0000  0.0000  0.0000  6 S 2.78-2.82



[4]
VASP calculation (PBE) on crystalline PuUNb at its relaxed geometry.

Values from the calculation:
Total DFT energy (no corrections) ... -11.758 eV per atom
Offset from the most stable computed form ... 0.0 meV/atom
ΔE_f ... 0.42 eV/f.u.

a = 4.8446 Å, b = 4.8446 Å, c = 2.9316 Å
α = 90.00°, β = 90.00°, γ = 120.00°
Closest atoms and distances in Å follow each position.
Element x y z (fractional)
Nb  0.3333  0.6667  0.6667  2 Nb 2.93, 6 U 3.16, 6 Pu 3.16
Pu  0.0000  0.0000  0.1668  3 U 2.80, 2 Pu 2.93
U  0.6667  0.3333  0.1665  3 Pu 2.80, 2 U 2.93



[5]
VASP calculation (PBE) on crystalline La2GePd2 at its relaxed geometry.

Values from the calculation:
Total DFT energy (no corrections) ... -5.806 eV per atom
ΔE_f ... -4.17 eV/f.u.

a = 4.3369 Å, b = 5.9841 Å, c = 10.4067 Å
α = 84.67°, β = 77.97°, γ = 68.75°
Closest atoms and distances in Å follow each position.
Element x y z (fractional)
Pd  0.9541  0.6824  0.4095  2 Ge 2.52, 1 Pd 2.72
La  0.0895  0.7147  0.1063  6 Pd 3.09-3.26, 2 Ge 3.16
Pd  0.0459  0.3176  0.5905  2 Ge 2.52, 1 Pd 2.72
Ge  0.4181  0.8453  0.3185  3 Pd 2.52-2.65
Pd  0.3673  0.1496  0.1158  1 Ge 2.65, 1 Pd 2.91
Pd  0.6327  0.8504  0.8842  1 Ge 2.65, 1 Pd 2.91
La  0.3110  0.7403  0.6377  7 Pd 3.20-3.38, 4 Ge 3.21-3.29
Ge  0.5819  0.1547  0.6815  3 Pd 2.52-2.65
La  0.9105  0.2853  0.8937  6 Pd 3.09-3.26, 2 Ge 3.16
La  0.6890  0.2597  0.3623  7 Pd 3.20-3.38, 4 Ge 3.21-3.29



[6]
VASP calculation (PBE) on crystalline ScSbSe2 at its relaxed geometry.

Values from the calculation:
Total DFT energy (no corrections) ... -5.011 eV per atom
Raw formation energy ... -0.655 eV/atom

a = 7.5553 Å, b = 7.5553 Å, c = 6.3889 Å
α = 53.75°, β = 53.75°, γ = 90.00°
Closest atoms and distances in Å follow each position.
Element x y z (fractional)
Se  0.1523  0.6250  0.2500  2 Sc 2.68, 2 Sb 2.95
Se  0.3750  0.4023  0.7500  2 Sc 2.68, 2 Sb 2.95
Se  0.5977  0.1250  0.2500  2 Sc 2.68, 2 Sb 2.95
Se  0.8750  0.8477  0.7500  2 Sc 2.68, 2 Sb 2.95
Sb  0.7500  0.2500  0.5000  4 Se 2.95
Sb  0.0000  0.0000  0.0000  4 Se 2.95
Sc  0.2500  0.7500  0.5000  4 Se 2.68
Sc  0.5000  0.5000  0.0000  4 Se 2.68